LiSiAs (GGA-PBE, relaxed); crystal system = tetragonal; mass density = 3.42 g/cm³; calculated volume = 17.79 A^3/atom; uncorrected formation energy = -0.040 eV/atom; uncorrected energy = -0.148 Ha/atom
1.0
3.414 0.000 0.000
0.000 3.414 0.000
0.000 0.000 9.157
Li Si As
2 2 2
direct
0.000 0.000 0.000
0.500 0.500 0.500
0.000 0.000 0.697
0.500 0.500 0.197
0.000 0.000 0.298
0.500 0.500 0.798